First-principles (PBE with a Hubbard U) data for crystalline CsCr2SbO8 at its relaxed geometry, as listed in the Alexandria database.

a = 9.3123 Å, b = 5.8165 Å, c = 8.8454 Å
α = 90.00°, β = 95.15°, γ = 90.00°
Last column: nearest neighbours and their distance in Å.
Space group C2/m (No. 12)
Inequivalent atoms, fractional coordinates:
Cs1 0.0000 0.0000 0.0000  10 O 3.20-3.50
Cr1 0.1257 0.5000 0.2991  4 O 1.63-1.70
Sb1 0.0000 0.0000 0.5000  6 O 2.21-2.23
O1 0.0248 0.2611 0.3196  1 Cr 1.70
O2 0.1812 0.5000 0.1299  1 Cr 1.63
O3 0.2341 0.0000 0.5672  1 Cr 1.68

VASP energy = -6.349 eV/atom
calculated volume = 477.2 Å³/cell

=====

First-principles (PBE with a Hubbard U) data for crystalline CsScCr2O8 at its relaxed geometry, as listed in the Alexandria database.

a = 5.6545 Å, b = 5.6545 Å, c = 8.3316 Å
α = 90.00°, β = 90.00°, γ = 120.00°
Last column: nearest neighbours and their distance in Å.
Space group P-3 (No. 147)
Inequivalent atoms, fractional coordinates:
Cs1 0.0000 0.0000 0.0000  12 O 3.35
Sc1 0.0000 0.0000 0.5000  6 O 2.10
Cr1 0.3333 0.6667 0.7157  4 O 1.63-1.68
O1 0.1609 0.3425 0.6515  1 Cr 1.68
O2 0.3333 0.6667 0.9108  1 Cr 1.63

VASP energy = -7.035 eV/atom
calculated volume = 230.7 Å³/cell
density of states at the Fermi level = 0.0 states/eV per cell

=====

First-principles (PBE with a Hubbard U) data for crystalline CsScCr2O at its relaxed geometry, as listed in the Alexandria database.

a = 5.7286 Å, b = 5.7286 Å, c = 4.1234 Å
α = 90.00°, β = 90.00°, γ = 90.00°
Last column: nearest neighbours and their distance in Å.
Space group P4/mmm (No. 123)
Inequivalent atoms, fractional coordinates:
Cs1 0.0000 0.0000 0.0000  8 Cr 3.53
Sc1 0.5000 0.5000 0.5000  2 O 2.06
Cr1 0.0000 0.5000 0.5000  2 Sc 2.86
O1 0.5000 0.5000 0.0000  2 Sc 2.06

VASP energy = -5.410 eV/atom
calculated volume = 135.3 Å³/cell
density of states at the Fermi level = 2.1 states/eV per cell

=====

Which formula does entry 1 have? CsCr2SbO8

=====

What is the calculated volume in the first record? 477.2 Å³/cell

=====

Please write out number 1 again, unchanged.
First-principles (PBE with a Hubbard U) data for crystalline CsCr2SbO8 at its relaxed geometry, as listed in the Alexandria database.

a = 9.3123 Å, b = 5.8165 Å, c = 8.8454 Å
α = 90.00°, β = 95.15°, γ = 90.00°
Last column: nearest neighbours and their distance in Å.
Space group C2/m (No. 12)
Inequivalent atoms, fractional coordinates:
Cs1 0.0000 0.0000 0.0000  10 O 3.20-3.50
Cr1 0.1257 0.5000 0.2991  4 O 1.63-1.70
Sb1 0.0000 0.0000 0.5000  6 O 2.21-2.23
O1 0.0248 0.2611 0.3196  1 Cr 1.70
O2 0.1812 0.5000 0.1299  1 Cr 1.63
O3 0.2341 0.0000 0.5672  1 Cr 1.68

VASP energy = -6.349 eV/atom
calculated volume = 477.2 Å³/cell